Computed, not measured: a relaxed LiHo2Co2O6 crystal at the PBE+U level of DFT.

Cell: 5.755 5.755 6.259 Å, 62.63 62.63 60.00°
Fractional positions:
O 0.248 0.784 0.720
O 0.752 0.752 0.280
O 0.216 0.752 0.280
O 0.248 0.248 0.720
O 0.784 0.248 0.720
O 0.752 0.216 0.280
Ho 0.813 0.813 0.560
Ho 0.187 0.187 0.440
Li 0.000 0.000 0.000
Co 0.588 0.588 0.236
Co 0.412 0.412 0.764

Summary:
space-group type: R-3m
magnetic moment: 7.0 μB/f.u.
DOS at the Fermi energy: 3.95 states/eV/f.u.
VASP energy: -6.42 eV per atom